Record 1
An optimized crystal structure of FeTeRu2. Source: Alexandria via LeMat-Bulk, functional PBE.

a b c (Å): 4.3536 2.9690 4.9155
angles (deg): 86.64 90.00 90.00
Closest atoms and distances in Å follow each position.
Positions (direct):
Fe1 0.5000 0.7500 0.7500  4 Ru 2.60, 2 Te 2.80
Ru1 0.0000 0.0050 0.9873  2 Fe 2.60, 2 Te 2.65, 2 Ru 2.68-2.85
Ru2 0.0000 0.4950 0.5127  2 Fe 2.60, 2 Te 2.65, 2 Ru 2.68-2.85
Te1 0.5000 0.2500 0.2500  4 Ru 2.65, 4 Fe 2.80-2.94, 2 Te 2.97

## Properties
- SG = P2/m
- mass density (Mg/m³) = 10.095
- E_form (uncorrected) (eV per formula unit) = 2.04
- magnetic moment (μB per formula unit) = 3.567

Record 2
An optimized crystal structure of BaNaPrO3. Source: Alexandria via LeMat-Bulk, functional PBE.

a b c (Å): 3.7960 9.4616 6.6934
angles (deg): 101.94 90.00 90.00
Closest atoms and distances in Å follow each position.
Positions (direct):
O1 0.7500 0.7766 0.0254  1 Na 2.30, 2 Pr 2.35, 1 Ba 2.57
O2 0.2500 0.4985 0.7752  3 Pr 2.55-2.61
O3 0.7500 0.5015 0.2248  3 Pr 2.55-2.61
O4 0.7500 0.1801 0.5431  3 Na 2.36-2.54, 1 Pr 2.38
O5 0.2500 0.8199 0.4569  3 Na 2.36-2.54, 1 Pr 2.38
O6 0.2500 0.2234 0.9746  1 Na 2.30, 2 Pr 2.35, 1 Ba 2.57
Ba1 0.7500 0.6896 0.6354  3 O 2.57-2.68
Ba2 0.2500 0.3104 0.3646  3 O 2.57-2.68
Na1 0.7500 0.9517 0.3209  4 O 2.30-2.54
Na2 0.2500 0.0483 0.6791  4 O 2.30-2.54
Pr1 0.2500 0.6640 0.1278  6 O 2.35-2.61
Pr2 0.7500 0.3360 0.8722  6 O 2.35-2.61

## Properties
- SG = P2_1/m
- mass density (Mg/m³) = 4.931
- E_form (uncorrected) (eV per formula unit) = -14.98
- magnetic moment (μB per formula unit) = 0.000

Record 3
An optimized crystal structure of Tb8In2Bi. Source: Alexandria via LeMat-Bulk, functional PBE.

a b c (Å): 5.1349 6.9858 10.0612
angles (deg): 102.28 104.78 90.00
Closest atoms and distances in Å follow each position.
Positions (direct):
Tb1 0.6593 0.9803 0.3185  1 Bi 3.13, 3 In 3.13-3.18, 2 Tb 3.46
Tb2 0.4067 0.5306 0.8135  1 Bi 3.38, 2 In 3.48, 9 Tb 3.52-3.77
Tb3 0.9750 0.2457 0.9500  1 In 3.14, 2 Bi 3.18, 1 Tb 3.47
Tb4 0.2111 0.3137 0.4223  3 In 3.19-3.35, 2 Tb 3.46
Tb5 0.3407 0.0197 0.6815  1 Bi 3.13, 3 In 3.13-3.18, 2 Tb 3.46
Tb6 0.5933 0.4694 0.1865  1 Bi 3.38, 2 In 3.48, 9 Tb 3.52-3.77
Tb7 0.0250 0.7543 0.0500  1 In 3.14, 2 Bi 3.18, 1 Tb 3.47
Tb8 0.7889 0.6863 0.5777  3 In 3.19-3.35, 2 Tb 3.46
Bi1 0.5000 0.0000 0.0000  8 Tb 3.13-3.38
In1 0.8141 0.2503 0.6281  9 Tb 3.13-3.48
In2 0.1859 0.7497 0.3719  9 Tb 3.13-3.48

## Properties
- SG = C2/m
- mass density (Mg/m³) = 8.341
- formation energy (eV per atom) = -0.26
- magnetic moment (μB per formula unit) = 0.003

Record 4
An optimized crystal structure of KLiHf2B. Source: Alexandria via LeMat-Bulk, functional PBE.

a b c (Å): 4.6285 5.6679 4.6285
angles (deg): 90.00 90.00 90.00
Closest atoms and distances in Å follow each position.
Positions (direct):
Hf1 0.0000 0.0000 0.5000  2 B 2.31
Hf2 0.5000 0.0000 0.0000  2 B 2.31
K1 0.5000 0.5000 0.5000  4 Li 3.27, 8 Hf 3.66
B1 0.0000 0.0000 0.0000  4 Hf 2.31
Li1 0.0000 0.5000 0.0000  2 B 2.83

## Properties
- SG = P4/mmm
- mass density (Mg/m³) = 5.659
- formation energy (eV per atom) = 0.63
- magnetic moment (μB per formula unit) = 0.000

Record 5
An optimized crystal structure of ZnPbBr. Source: Alexandria via LeMat-Bulk, functional PBE.

a b c (Å): 5.2249 5.2249 5.2249
angles (deg): 60.00 60.00 60.00
Closest atoms and distances in Å follow each position.
Positions (direct):
Br1 0.5000 0.5000 0.5000  4 Pb 3.20
Zn1 0.0000 0.0000 0.0000  4 Pb 3.20
Pb1 0.7500 0.7500 0.7500  4 Br 3.20, 4 Zn 3.20

## Properties
- offset from the most stable computed form (eV/atom) = 0.259
- SG = F-43m
- mass density (Mg/m³) = 5.804
- E_form (uncorrected) (eV per formula unit) = 0.16
- magnetic moment (μB per formula unit) = 0.000

Record 6
An optimized crystal structure of RbPm2Tl2O6. Source: Alexandria via LeMat-Bulk, functional PBE.

a b c (Å): 6.6118 6.1193 7.6983
angles (deg): 124.27 80.55 74.32
Closest atoms and distances in Å follow each position.
Positions (direct):
O1 0.4360 0.5894 0.8948  1 Tl 2.19, 2 Pm 2.36
O2 0.1068 0.8703 0.5639  1 Tl 2.19, 2 Pm 2.36
O3 0.0445 0.2830 0.0456  1 Pm 2.28, 2 Tl 2.37
O4 0.8932 0.1297 0.4361  1 Tl 2.19, 2 Pm 2.36
O5 0.9555 0.7170 0.9544  1 Pm 2.28, 2 Tl 2.37
O6 0.5640 0.4106 0.1052  1 Tl 2.19, 2 Pm 2.36
Rb1 0.5000 0.0000 0.5000  4 O 2.96-2.97
Tl1 0.7608 0.2385 0.2387  4 O 2.19-2.37
Tl2 0.2392 0.7615 0.7613  4 O 2.19-2.37
Pm1 0.8245 0.3670 0.8246  5 O 2.28-2.36
Pm2 0.1755 0.6330 0.1754  5 O 2.28-2.36

## Properties
- SG = P-1
- mass density (Mg/m³) = 6.429
- E_form (uncorrected) (eV per formula unit) = -20.49
- magnetic moment (μB per formula unit) = 0.000